[1]
## CeGdBiBr (PBE)

Data for a relaxed structure of CeGdBiBr.

Unit cell a=5.452 b=5.452 c=5.452 alpha=60.00 beta=60.00 gamma=60.00
Atoms (fractional coordinates):
Ce  0.000  0.000  0.000
Gd  0.500  0.500  0.500
Bi  0.750  0.750  0.750
Br  0.250  0.250  0.250

Calculated values
formation energy from raw total energies	-893.1	meV per atom
final energy	-7.2853	eV per atom

[2]
## LaCeBiBr (PBE)

Data for a relaxed structure of LaCeBiBr.

Unit cell a=5.527 b=5.527 c=5.527 alpha=60.00 beta=60.00 gamma=60.00
Atoms (fractional coordinates):
La  0.000  0.000  0.000
Ce  0.500  0.500  0.500
Bi  0.750  0.750  0.750
Br  0.250  0.250  0.250

Calculated values
formation energy from raw total energies	-976.3	meV per atom
final energy	-5.0800	eV per atom

[3]
## CePrBiBr (PBE)

Data for a relaxed structure of CePrBiBr.

Unit cell a=5.498 b=5.498 c=5.498 alpha=60.00 beta=60.00 gamma=60.00
Atoms (fractional coordinates):
Ce  0.000  0.000  0.000
Pr  0.500  0.500  0.500
Bi  0.250  0.250  0.250
Br  0.750  0.750  0.750

Calculated values
formation energy from raw total energies	-930.1	meV per atom
final energy	-4.9969	eV per atom

[4]
## Bi2Br2Cl (PBE)

Data for a relaxed structure of Bi2Br2Cl.

Unit cell a=7.777 b=7.777 c=4.873 alpha=90.00 beta=90.00 gamma=90.00
Atoms (fractional coordinates):
Bi  0.140  0.360  0.000
Bi  0.360  0.860  0.000
Bi  0.640  0.140  0.000
Bi  0.860  0.640  0.000
Br  0.171  0.671  0.500
Br  0.329  0.171  0.500
Br  0.671  0.829  0.500
Br  0.829  0.329  0.500
Cl  0.000  0.000  0.000
Cl  0.500  0.500  0.000

Calculated values
formation energy from raw total energies	-315.6	meV per atom
final energy	-2.9064	eV per atom

[5]
## BiBr2Cl (PBE)

Data for a relaxed structure of BiBr2Cl.

Unit cell a=5.196 b=5.196 c=5.196 alpha=60.00 beta=60.00 gamma=60.00
Atoms (fractional coordinates):
Bi  0.000  0.000  0.000
Br  0.250  0.250  0.250
Br  0.750  0.750  0.750
Cl  0.500  0.500  0.500

Calculated values
formation energy from raw total energies	-301.9	meV per atom
distance to the lowest polymorph of the same formula	1.96	eV per formula unit
final energy	-2.5702	eV per atom

[6]
## BiBr2Cl (PBE)

Data for a relaxed structure of BiBr2Cl.

Unit cell a=8.033 b=8.033 c=5.455 alpha=91.09 beta=91.09 gamma=30.21
Atoms (fractional coordinates):
Bi  0.000  0.000  0.000
Br  0.372  0.369  0.993
Br  0.631  0.628  0.007
Cl  0.005  0.995  0.500

Calculated values
formation energy from raw total energies	-791.6	meV per atom
distance to the lowest polymorph of the same formula	0.00	eV per formula unit
final energy	-3.0599	eV per atom

[7]
## BiBrCl3 (PBE)

Data for a relaxed structure of BiBrCl3.

Unit cell a=5.338 b=5.338 c=5.338 alpha=90.00 beta=90.00 gamma=90.00
Atoms (fractional coordinates):
Bi  0.000  0.000  0.000
Br  0.500  0.500  0.500
Cl  0.000  0.500  0.500
Cl  0.500  0.000  0.500
Cl  0.500  0.500  0.000

Calculated values
formation energy from raw total energies	377.2	meV per atom
distance to the lowest polymorph of the same formula	5.07	eV per formula unit
final energy	-1.8415	eV per atom

[8]
## Bi2BrCl (PBE)

Data for a relaxed structure of Bi2BrCl.

Unit cell a=5.384 b=5.384 c=5.384 alpha=60.00 beta=60.00 gamma=60.00
Atoms (fractional coordinates):
Bi  0.250  0.250  0.250
Bi  0.750  0.750  0.750
Br  0.000  0.000  0.000
Cl  0.500  0.500  0.500

Calculated values
formation energy from raw total energies	45.1	meV per atom
distance to the lowest polymorph of the same formula	0.48	eV per formula unit
final energy	-2.7752	eV per atom

[9]
## BiBrCl3 (PBE)

Data for a relaxed structure of BiBrCl3.

Unit cell a=5.446 b=5.446 c=5.446 alpha=90.00 beta=90.00 gamma=90.00
Atoms (fractional coordinates):
Bi  0.000  0.000  0.000
Br  0.500  0.500  0.500
Cl  0.000  0.000  0.500
Cl  0.000  0.500  0.000
Cl  0.500  0.000  0.000

Calculated values
formation energy from raw total energies	-450.7	meV per atom
distance to the lowest polymorph of the same formula	0.93	eV per formula unit
final energy	-2.6694	eV per atom

[10]
## BiBrCl3 (PBE)

Data for a relaxed structure of BiBrCl3.

Unit cell a=5.525 b=7.448 c=8.917 alpha=89.87 beta=80.21 gamma=89.95
Atoms (fractional coordinates):
Bi  0.000  0.000  0.000
Bi  0.500  0.021  0.500
Br  0.042  0.753  0.719
Br  0.542  0.267  0.218
Cl  0.049  0.266  0.199
Cl  0.279  0.202  0.814
Cl  0.338  0.825  0.078
Cl  0.549  0.754  0.700
Cl  0.779  0.819  0.315
Cl  0.838  0.196  0.578

Calculated values
formation energy from raw total energies	-636.9	meV per atom
distance to the lowest polymorph of the same formula	0.00	eV per formula unit
final energy	-2.8557	eV per atom

[11]
## Bi4Br2Cl5 (PBE)

Data for a relaxed structure of Bi4Br2Cl5.

Unit cell a=7.865 b=7.865 c=10.850 alpha=125.30 beta=125.30 gamma=50.31
Atoms (fractional coordinates):
Bi  0.066  0.066  0.311
Bi  0.198  0.198  0.802
Bi  0.802  0.802  0.198
Bi  0.934  0.934  0.689
Br  0.321  0.321  0.135
Br  0.679  0.679  0.865
Cl  0.000  0.000  0.000
Cl  0.113  0.605  0.456
Cl  0.395  0.887  0.544
Cl  0.605  0.113  0.456
Cl  0.887  0.395  0.544

Calculated values
formation energy from raw total energies	-574.4	meV per atom
final energy	-3.1292	eV per atom

[12]
## BiBr2Cl (PBE)

Data for a relaxed structure of BiBr2Cl.

Unit cell a=5.474 b=5.774 c=6.104 alpha=85.52 beta=85.85 gamma=88.29
Atoms (fractional coordinates):
Bi  0.000  0.000  0.000
Br  0.952  0.966  0.434
Br  0.974  0.466  0.913
Cl  0.475  0.961  0.947

Calculated values
formation energy from raw total energies	-723.2	meV per atom
distance to the lowest polymorph of the same formula	0.27	eV per formula unit
final energy	-2.9915	eV per atom